Here is crystalline CrRhW2 at its relaxed geometry from the Alexandria database. Energies are from PBE-GGA.

Structure (POSCAR):
```
CrRhW2
1.0
-1.154 2.581 1.375
-2.502 -1.637 0.972
2.911 -1.418 5.106
Cr W Rh
1 2 1
direct
0.000 0.000 0.488 Cr
0.000 0.000 0.002 W
0.500 0.500 0.264 W
0.500 0.500 0.747 Rh
```

## Properties
Polymorph energy (0 for the lowest one) (meV/atom): 45
Crystal system: tetragonal
Calculated formation energy (eV/atom): 0.14
Calculated volume (Å³ per cell): 59.8

Here is crystalline LiPmPt at its relaxed geometry from the Alexandria database. Energies are from PBE-GGA.

Structure (POSCAR):
```
LiPmPt
1.0
-1.180 -4.547 0.272
0.338 -2.277 4.104
-3.895 -1.285 2.305
Pt Pm Li
1 1 1
direct
0.250 0.250 0.250 Pt
0.000 0.000 0.000 Pm
0.500 0.500 0.500 Li
```

## Properties
Polymorph energy (0 for the lowest one) (meV/atom): 168
Crystal system: cubic
Calculated formation energy (eV/atom): -0.66
Calculated volume (Å³ per cell): 73.7

Here is crystalline SrZnAg2Au at its relaxed geometry from the Alexandria database. Energies are from PBE-GGA.

Structure (POSCAR):
```
SrZnAg2Au
1.0
-2.024 0.218 -4.541
-4.077 -2.287 1.707
-2.020 4.434 1.114
Zn Sr Ag Au
1 1 2 1
direct
0.000 0.000 0.000 Zn
0.500 0.500 0.500 Sr
0.000 0.500 0.000 Ag
0.500 0.000 0.000 Ag
0.000 0.000 0.500 Au
```

## Properties
Crystal system: tetragonal
Calculated formation energy (eV/atom): -0.16
Calculated volume (Å³ per cell): 123.8